1 | First-principles (PBE) data for an optimized crystal structure of CsCaTe2I, as listed in the Alexandria database.

Unit cell a=6.0154 b=6.0154 c=6.3789 alpha=90.00 beta=90.00 gamma=90.00
Closest atoms and distances in Å follow each position.
Fractional positions:
Cs  0.0000  0.0000  0.0000  4 I 4.25, 8 Te 4.38
Ca  0.5000  0.5000  0.5000  4 Te 3.01, 2 I 3.19
Te  0.0000  0.5000  0.5000  2 Ca 3.01
Te  0.5000  0.0000  0.5000  2 Ca 3.01
I  0.5000  0.5000  0.0000  2 Ca 3.19

Properties
**Theoretical density**: 3.993 g/cm³
**V**: 230.82 Å³ per cell
**N(E_F)**: 7.112 states/eV/f.u.



2 | First-principles (PBE) data for an optimized crystal structure of CsCaTe2I, as listed in the Alexandria database.

Unit cell a=6.2486 b=6.2486 c=6.6909 alpha=90.00 beta=90.00 gamma=90.00
Closest atoms and distances in Å follow each position.
Fractional positions:
Cs  0.0000  0.0000  0.0000  4 Te 3.12, 2 I 3.35
Ca  0.5000  0.5000  0.5000  4 I 4.42, 8 Te 4.58
Te  0.0000  0.5000  0.0000  2 Cs 3.12
Te  0.5000  0.0000  0.0000  2 Cs 3.12
I  0.0000  0.0000  0.5000  2 Cs 3.35

Properties
**Theoretical density**: 3.528 g/cm³
**V**: 261.24 Å³ per cell
**N(E_F)**: 3.643 states/eV/f.u.



Best to worst by energy: 1, 2.



1 | First-principles (PBE) data for an optimized crystal structure of Cs2CaTlI6, as listed in the Alexandria database.

Unit cell a=8.6533 b=8.9903 c=15.2105 alpha=90.00 beta=124.54 gamma=90.00
Closest atoms and distances in Å follow each position.
Fractional positions:
Cs  0.2278  0.0725  0.2503  8 I 3.91-4.25
Cs  0.2278  0.4275  0.7503  8 I 3.91-4.25
Cs  0.7722  0.5725  0.2497  8 I 3.91-4.25
Cs  0.7722  0.9275  0.7497  8 I 3.91-4.25
Ca  0.5000  0.0000  0.0000  6 I 3.14-3.17
Ca  0.5000  0.5000  0.5000  6 I 3.14-3.17
Tl  0.0000  0.0000  0.5000  6 I 3.26-3.30
Tl  0.0000  0.5000  0.0000  6 I 3.26-3.30
I  0.1656  0.1943  0.9625  1 Ca 3.14, 1 Tl 3.30
I  0.1656  0.3057  0.4625  1 Ca 3.14, 1 Tl 3.30
I  0.2670  0.7059  0.9608  1 Ca 3.17, 1 Tl 3.27
I  0.2670  0.7941  0.4608  1 Ca 3.17, 1 Tl 3.27
I  0.3321  0.0024  0.7549  1 Ca 3.14, 1 Tl 3.26
I  0.3321  0.4976  0.2549  1 Ca 3.14, 1 Tl 3.26
I  0.6679  0.5024  0.7451  1 Ca 3.14, 1 Tl 3.26
I  0.6679  0.9976  0.2451  1 Ca 3.14, 1 Tl 3.26
I  0.7330  0.2059  0.5392  1 Ca 3.17, 1 Tl 3.27
I  0.7330  0.2941  0.0392  1 Ca 3.17, 1 Tl 3.27
I  0.8344  0.6943  0.5375  1 Ca 3.14, 1 Tl 3.30
I  0.8344  0.8057  0.0375  1 Ca 3.14, 1 Tl 3.30

Properties
**Theoretical density**: 4.333 g/cm³
**V**: 974.68 Å³ per cell
**N(E_F)**: 6.889 states/eV/f.u.



2 | First-principles (PBE) data for an optimized crystal structure of Cs2CaTlI6, as listed in the Alexandria database.

Unit cell a=8.9018 b=8.9018 c=8.9018 alpha=60.00 beta=60.00 gamma=60.00
Closest atoms and distances in Å follow each position.
Fractional positions:
Cs  0.2500  0.2500  0.2500  12 I 4.45
Cs  0.7500  0.7500  0.7500  12 I 4.45
Ca  0.0000  0.0000  0.0000  6 I 3.11
Tl  0.5000  0.5000  0.5000  6 I 3.19
I  0.2470  0.2470  0.7530  1 Ca 3.11, 1 Tl 3.19
I  0.2470  0.7530  0.2470  1 Ca 3.11, 1 Tl 3.19
I  0.2470  0.7530  0.7530  1 Ca 3.11, 1 Tl 3.19
I  0.7530  0.2470  0.2470  1 Ca 3.11, 1 Tl 3.19
I  0.7530  0.2470  0.7530  1 Ca 3.11, 1 Tl 3.19
I  0.7530  0.7530  0.2470  1 Ca 3.11, 1 Tl 3.19

Properties
**Theoretical density**: 4.234 g/cm³
**V**: 498.79 Å³ per cell
**N(E_F)**: 16.522 states/eV/f.u.



Best to worst by energy: 1, 2.



1 | First-principles (PBE) data for an optimized crystal structure of CsCaIr2, as listed in the Alexandria database.

Unit cell a=10.6090 b=10.6090 c=10.6090 alpha=153.28 beta=153.28 gamma=38.15
Closest atoms and distances in Å follow each position.
Fractional positions:
Cs  0.0000  0.0000  0.0000  4 Ca 3.47, 4 Ir 3.50
Cs  0.7500  0.2500  0.5000  4 Ca 3.47, 4 Ir 3.50
Ca  0.2500  0.7500  0.5000  4 Ir 2.81
Ca  0.5000  0.5000  0.0000  4 Ir 2.81
Ir  0.3053  0.1250  0.6803  2 Ir 2.54, 2 Ca 2.81
Ir  0.3750  0.6947  0.8197  2 Ir 2.54, 2 Ca 2.81
Ir  0.4447  0.6250  0.3197  2 Ir 2.54, 2 Ca 2.81
Ir  0.8750  0.5553  0.1803  2 Ir 2.54, 2 Ca 2.81

Properties
**Theoretical density**: 7.681 g/cm³
**V**: 241.01 Å³ per cell
**N(E_F)**: 1.999 states/eV/f.u.



2 | First-principles (PBE) data for an optimized crystal structure of CsCaIr2, as listed in the Alexandria database.

Unit cell a=5.0744 b=5.0744 c=5.0744 alpha=60.00 beta=60.00 gamma=60.00
Closest atoms and distances in Å follow each position.
Fractional positions:
Cs  0.0000  0.0000  0.0000  8 Ir 3.11
Ca  0.5000  0.5000  0.5000  8 Ir 3.11
Ir  0.2500  0.2500  0.2500  4 Ca 3.11, 4 Cs 3.11
Ir  0.7500  0.7500  0.7500  4 Ca 3.11, 4 Cs 3.11

Properties
**Theoretical density**: 10.018 g/cm³
**V**: 92.39 Å³ per cell
**N(E_F)**: 5.136 states/eV/f.u.



Best to worst by energy: 1, 2.



1 | First-principles (PBE) data for an optimized crystal structure of CsCa2Ir, as listed in the Alexandria database.

Unit cell a=5.4560 b=5.4560 c=5.4560 alpha=60.00 beta=60.00 gamma=60.00
Closest atoms and distances in Å follow each position.
Fractional positions:
Cs  0.0000  0.0000  0.0000  8 Ca 3.34
Ca  0.2500  0.2500  0.2500  4 Ir 3.34, 4 Cs 3.34
Ca  0.7500  0.7500  0.7500  4 Ir 3.34, 4 Cs 3.34
Ir  0.5000  0.5000  0.5000  8 Ca 3.34

Properties
**Theoretical density**: 5.860 g/cm³
**V**: 114.84 Å³ per cell
**N(E_F)**: 2.327 states/eV/f.u.



2 | First-principles (PBE) data for an optimized crystal structure of CsCa2Ir, as listed in the Alexandria database.

Unit cell a=8.5263 b=8.5263 c=8.5263 alpha=119.72 beta=119.72 gamma=90.48
Closest atoms and distances in Å follow each position.
Fractional positions:
Cs  0.0000  0.0000  0.0000  12 Ca 4.99-5.03, 4 Ir 5.23, 4 Cs 5.23
Cs  0.7500  0.2500  0.5000  12 Ca 4.99-5.03, 4 Ir 5.23, 4 Cs 5.23
Ca  0.3728  0.6250  0.2478  2 Ir 2.61
Ca  0.3750  0.6228  0.7478  2 Ir 2.61
Ca  0.3772  0.1250  0.7522  2 Ir 2.61
Ca  0.8750  0.6272  0.2522  2 Ir 2.61
Ir  0.2500  0.7500  0.5000  4 Ca 2.61
Ir  0.5000  0.5000  0.0000  4 Ca 2.61

Properties
**Theoretical density**: 3.058 g/cm³
**V**: 440.10 Å³ per cell
**N(E_F)**: 1.857 states/eV/f.u.



Best to worst by energy: 2, 1.



1 | First-principles (PBE) data for an optimized crystal structure of CsCa3Ir, as listed in the Alexandria database.

Unit cell a=5.7874 b=5.7874 c=5.7874 alpha=90.00 beta=90.00 gamma=90.00
Closest atoms and distances in Å follow each position.
Fractional positions:
Cs  0.0000  0.0000  0.0000  12 Ca 4.09
Ca  0.0000  0.5000  0.5000  2 Ir 2.89
Ca  0.5000  0.0000  0.5000  2 Ir 2.89
Ca  0.5000  0.5000  0.0000  2 Ir 2.89
Ir  0.5000  0.5000  0.5000  6 Ca 2.89

Properties
**Theoretical density**: 3.815 g/cm³
**V**: 193.84 Å³ per cell
**N(E_F)**: 4.731 states/eV/f.u.



2 | First-principles (PBE) data for an optimized crystal structure of CsCa3Ir, as listed in the Alexandria database.

Unit cell a=5.5518 b=5.5518 c=5.5518 alpha=90.00 beta=90.00 gamma=90.00
Closest atoms and distances in Å follow each position.
Fractional positions:
Cs  0.0000  0.0000  0.0000  6 Ca 2.78
Ca  0.0000  0.0000  0.5000  2 Cs 2.78
Ca  0.0000  0.5000  0.0000  2 Cs 2.78
Ca  0.5000  0.0000  0.0000  2 Cs 2.78
Ir  0.5000  0.5000  0.5000  12 Ca 3.93

Properties
**Theoretical density**: 4.322 g/cm³
**V**: 171.12 Å³ per cell
**N(E_F)**: 11.509 states/eV/f.u.



Best to worst by energy: 1, 2.



1 | First-principles (PBE) data for an optimized crystal structure of Cs2KCa2, as listed in the Alexandria database.

Unit cell a=12.7839 b=12.7839 c=4.4869 alpha=90.00 beta=90.00 gamma=90.00
Closest atoms and distances in Å follow each position.
Fractional positions:
Cs  0.1843  0.3157  0.0000  6 Ca 4.41-4.45, 2 Cs 4.49
Cs  0.3157  0.8157  0.0000  6 Ca 4.41-4.45, 2 Cs 4.49
Cs  0.6843  0.1843  0.0000  6 Ca 4.41-4.45, 2 Cs 4.49
Cs  0.8157  0.6843  0.0000  6 Ca 4.41-4.45, 2 Cs 4.49
K  0.0000  0.0000  0.5000  2 K 4.49
K  0.5000  0.5000  0.5000  2 K 4.49
Ca  0.1058  0.6058  0.5000  1 Ca 3.83
Ca  0.3942  0.1058  0.5000  1 Ca 3.83
Ca  0.6058  0.8942  0.5000  1 Ca 3.83
Ca  0.8942  0.3942  0.5000  1 Ca 3.83

Properties
**Theoretical density**: 1.744 g/cm³
**V**: 733.28 Å³ per cell
**N(E_F)**: 3.421 states/eV/f.u.



2 | First-principles (PBE) data for an optimized crystal structure of Cs2KCa2, as listed in the Alexandria database.

Unit cell a=11.2990 b=11.2990 c=11.2990 alpha=148.93 beta=148.93 gamma=44.52
Closest atoms and distances in Å follow each position.
Fractional positions:
Cs  0.2500  0.7500  0.5000  4 Cs 4.28, 4 Ca 4.55
Cs  0.7500  0.2500  0.5000  4 Cs 4.28, 4 Ca 4.55
K  0.0000  0.0000  0.0000  8 Ca 4.65
Ca  0.4127  0.4127  0.0000  1 Ca 3.65
Ca  0.5873  0.5873  0.0000  1 Ca 3.65

Properties
**Theoretical density**: 1.669 g/cm³
**V**: 383.15 Å³ per cell
**N(E_F)**: 9.596 states/eV/f.u.



Best to worst by energy: 1, 2.



1 | First-principles (PBE) data for an optimized crystal structure of CsLi3Ca, as listed in the Alexandria database.

Unit cell a=6.4064 b=6.4064 c=6.4064 alpha=90.00 beta=90.00 gamma=90.00
Closest atoms and distances in Å follow each position.
Fractional positions:
Cs  0.0000  0.0000  0.0000  12 Li 4.53
Li  0.0000  0.5000  0.5000  2 Ca 3.20
Li  0.5000  0.0000  0.5000  2 Ca 3.20
Li  0.5000  0.5000  0.0000  2 Ca 3.20
Ca  0.5000  0.5000  0.5000  6 Li 3.20

Properties
**Theoretical density**: 1.224 g/cm³
**V**: 262.93 Å³ per cell
**N(E_F)**: 4.972 states/eV/f.u.



2 | First-principles (PBE) data for an optimized crystal structure of CsLi3Ca, as listed in the Alexandria database.

Unit cell a=5.8020 b=5.8020 c=5.8020 alpha=90.00 beta=90.00 gamma=90.00
Closest atoms and distances in Å follow each position.
Fractional positions:
Cs  0.0000  0.0000  0.0000  6 Li 2.90
Li  0.0000  0.0000  0.5000  2 Cs 2.90
Li  0.0000  0.5000  0.0000  2 Cs 2.90
Li  0.5000  0.0000  0.0000  2 Cs 2.90
Ca  0.5000  0.5000  0.5000  12 Li 4.10

Properties
**Theoretical density**: 1.648 g/cm³
**V**: 195.31 Å³ per cell
**N(E_F)**: 4.771 states/eV/f.u.



Best to worst by energy: 1, 2.



1 | First-principles (PBE) data for an optimized crystal structure of Cs2Li2Ca, as listed in the Alexandria database.

Unit cell a=11.3643 b=11.3643 c=4.0566 alpha=90.00 beta=90.00 gamma=90.00
Closest atoms and distances in Å follow each position.
Fractional positions:
Cs  0.1338  0.3662  0.0000  6 Li 3.73-4.04, 2 Cs 4.06
Cs  0.3662  0.8662  0.0000  6 Li 3.73-4.04, 2 Cs 4.06
Cs  0.6338  0.1338  0.0000  6 Li 3.73-4.04, 2 Cs 4.06
Cs  0.8662  0.6338  0.0000  6 Li 3.73-4.04, 2 Cs 4.06
Li  0.1717  0.6717  0.5000  6 Cs 3.73-4.04, 2 Li 4.06
Li  0.3283  0.1717  0.5000  6 Cs 3.73-4.04, 2 Li 4.06
Li  0.6717  0.8283  0.5000  6 Cs 3.73-4.04, 2 Li 4.06
Li  0.8283  0.3283  0.5000  6 Cs 3.73-4.04, 2 Li 4.06
Ca  0.0000  0.0000  0.0000  2 Ca 4.06, 4 Cs 4.43
Ca  0.5000  0.5000  0.0000  2 Ca 4.06, 4 Cs 4.43

Properties
**Theoretical density**: 2.027 g/cm³
**V**: 523.90 Å³ per cell
**N(E_F)**: 4.243 states/eV/f.u.



2 | First-principles (PBE) data for an optimized crystal structure of Cs2Li2Ca, as listed in the Alexandria database.

Unit cell a=9.2713 b=9.2713 c=6.4867 alpha=90.00 beta=90.00 gamma=90.00
Closest atoms and distances in Å follow each position.
Fractional positions:
Cs  0.1797  0.3203  0.0000  6 Li 4.18-4.30
Cs  0.3203  0.8203  0.0000  6 Li 4.18-4.30
Cs  0.6797  0.1797  0.0000  6 Li 4.18-4.30
Cs  0.8203  0.6797  0.0000  6 Li 4.18-4.30
Li  0.1195  0.6195  0.5000  1 Li 3.13
Li  0.3805  0.1195  0.5000  1 Li 3.13
Li  0.6195  0.8805  0.5000  1 Li 3.13
Li  0.8805  0.3805  0.5000  1 Li 3.13
Ca  0.0000  0.0000  0.5000  4 Li 3.70
Ca  0.5000  0.5000  0.5000  4 Li 3.70

Properties
**Theoretical density**: 1.905 g/cm³
**V**: 557.58 Å³ per cell
**N(E_F)**: 5.155 states/eV/f.u.



Best to worst by energy: 2, 1.